No. 1
VASP calculation (PBE) on a geometry-optimized Ac2Mg5Pb3 structure.

abc: 6.776 9.944 9.944
angles: 75.24 70.08 70.08
Sites, in units of the cell vectors:
Ac  0.125  0.641  0.108
Ac  0.625  0.108  0.641
Ac  0.875  0.359  0.892
Ac  0.375  0.892  0.359
Mg  0.357  0.255  0.031
Mg  0.857  0.031  0.255
Mg  0.643  0.745  0.969
Mg  0.143  0.969  0.745
Mg  0.530  0.720  0.720
Mg  0.470  0.280  0.280
Mg  0.750  0.500  0.500
Mg  0.250  0.500  0.500
Mg  0.970  0.280  0.280
Mg  0.030  0.720  0.720
Pb  0.388  0.455  0.769
Pb  0.888  0.769  0.455
Pb  0.612  0.545  0.231
Pb  0.112  0.231  0.545
Pb  0.250  0.000  0.000
Pb  0.750  0.000  0.000

Values from the calculation:
N(E_F): 2.922 states/eV/f.u.
Offset from the most stable computed form: 0 meV per atom
Total magnetic moment: 0.0 μB/cell
Crystal system: orthorhombic
ΔE_f: -255 meV/atom

No. 2
VASP calculation (PBE) on a geometry-optimized Ac6MgPb3 structure.

abc: 9.672 8.966 8.966
angles: 88.63 90.00 90.00
Sites, in units of the cell vectors:
Ac  0.149  0.667  0.667
Ac  0.649  0.667  0.667
Ac  0.399  0.505  0.997
Ac  0.899  0.997  0.505
Ac  0.153  0.164  0.836
Ac  0.644  0.164  0.836
Ac  0.144  0.836  0.164
Ac  0.653  0.836  0.164
Ac  0.399  0.003  0.495
Ac  0.899  0.495  0.003
Ac  0.149  0.333  0.333
Ac  0.649  0.333  0.333
Mg  0.899  0.379  0.621
Mg  0.399  0.621  0.379
Pb  0.399  0.868  0.864
Pb  0.899  0.864  0.868
Pb  0.399  0.372  0.628
Pb  0.899  0.628  0.372
Pb  0.899  0.132  0.136
Pb  0.399  0.136  0.132

Values from the calculation:
N(E_F): 9.460 states/eV/f.u.
Total magnetic moment: 0.0 μB/cell
Crystal system: orthorhombic
ΔE_f: -366 meV/atom

No. 3
VASP calculation (PBE) on a geometry-optimized Ac2MgPb structure.

abc: 4.572 5.542 5.542
angles: 90.00 90.00 90.00
Sites, in units of the cell vectors:
Pb  0.500  0.000  0.000
Ac  0.000  0.000  0.500
Ac  0.000  0.500  0.000
Mg  0.500  0.500  0.500

Values from the calculation:
N(E_F): 3.009 states/eV/f.u.
Total magnetic moment: 0.0 μB/cell
Crystal system: tetragonal
ΔE_f: -303 meV/atom

No. 4
VASP calculation (PBE) on a geometry-optimized Ac2Mg6Pb3 structure.

abc: 4.707 8.794 8.794
angles: 120.00 90.00 90.00
Sites, in units of the cell vectors:
Ac  0.000  0.667  0.333
Ac  0.000  0.333  0.667
Mg  0.500  0.728  0.728
Mg  0.500  0.000  0.272
Mg  0.000  0.195  0.195
Mg  0.000  0.805  0.000
Mg  0.500  0.272  0.000
Mg  0.000  0.000  0.805
Pb  0.500  0.395  0.395
Pb  0.500  0.605  0.000
Pb  0.500  0.000  0.605

Values from the calculation:
N(E_F): 3.186 states/eV/f.u.
Total magnetic moment: 0.0 μB/cell
Crystal system: hexagonal
ΔE_f: -275 meV/atom

No. 5
VASP calculation (PBE) on a geometry-optimized AcMg2Pb structure.

abc: 5.119 4.867 4.867
angles: 90.00 90.00 90.00
Sites, in units of the cell vectors:
Pb  0.500  0.500  0.500
Ac  0.500  0.000  0.000
Mg  0.000  0.000  0.500
Mg  0.000  0.500  0.000

Values from the calculation:
N(E_F): 2.192 states/eV/f.u.
Offset from the most stable computed form: 31 meV per atom
Total magnetic moment: 0.0 μB/cell
Crystal system: tetragonal
ΔE_f: -234 meV/atom

No. 6
VASP calculation (PBE) on a geometry-optimized Ac2Mg2Pb structure.

abc: 4.138 4.138 10.753
angles: 101.09 101.09 90.00
Sites, in units of the cell vectors:
Ac  0.400  0.400  0.801
Ac  0.600  0.600  0.199
Mg  0.750  0.250  0.500
Mg  0.250  0.750  0.500
Pb  0.000  0.000  0.000

Values from the calculation:
N(E_F): 4.573 states/eV/f.u.
Total magnetic moment: 0.0 μB/cell
Crystal system: tetragonal
ΔE_f: -59 meV/atom